# PBE-GGA NaMnCdBr2, optimized geometry
data_NaMnCdBr2
_symmetry_space_group_name_H-M 'P 4/m m m'
_symmetry_Int_Tables_number 123
_symmetry_space_group_name_Hall '-P 4 2'
_cell_length_a 5.147
_cell_length_b 5.147
_cell_length_c 6.254
_cell_angle_alpha 90.00
_cell_angle_beta 90.00
_cell_angle_gamma 90.00
loop_
_atom_site_label
_atom_site_fract_x
_atom_site_fract_y
_atom_site_fract_z
_atom_site_occupancy
Na1 0.000 0.000 0.000 1
Mn1 0.000 0.000 0.500 1
Cd1 0.500 0.500 0.000 1
Br1 0.000 0.500 0.500 1
# total magnetization	4.00	μB per cell
# ΔE_f (raw)	-20.09	kJ/mol of atoms
# calculated total energy	-15.8	eV/f.u.